[1]
Below is AcLa5PmEr2 after structural relaxation, with properties calculated at the PBE level.

The structure belongs to space group Cmc2_1 (No. 36); the cell edges are 5.6682, 24.5172 and 9.6360 Å and the angles 90.00°, 90.00° and 90.00°. The distinct sites, in fractional coordinates, are Ac at (0.0000, 0.1038, 0.0000), La at (0.0000, 0.0258, 0.6695), La at (0.0000, 0.1057, 0.3913), La at (0.0000, 0.1868, 0.6946), La at (0.0000, 0.2399, 0.0761), La at (0.0000, 0.4934, 0.8860), Pm at (0.0000, 0.2725, 0.3941), Er at (0.0000, 0.3271, 0.7565) and Er at (0.0000, 0.3883, 0.1296).

As for the total magnetization: 0.00 μB per cell. Its crystal system is orthorhombic. Its formation energy is 0.143 eV per atom.



[2]
Below is GaCu8Ge2 after structural relaxation, with properties calculated at the PBE level.

The structure belongs to space group C2/m (No. 12); the cell edges are 6.6482, 11.6068 and 4.3141 Å and the angles 90.00°, 115.77° and 90.00°. The distinct sites, in fractional coordinates, are Ga at (0.0000, 0.0000, 0.0000), Cu at (0.0000, 0.2116, 0.0000), Cu at (0.0944, 0.5000, 0.8075), Cu at (0.2099, 0.1119, 0.6444) and Ge at (0.0000, 0.3049, 0.5000).

As for the total magnetization: 0.00 μB per cell. Its crystal system is monoclinic. Its formation energy is 0.069 eV per atom.



[3]
Below is YInOs2 after structural relaxation, with properties calculated at the PBE level.

The structure belongs to space group P2/m (No. 10); the cell edges are 2.9593, 4.6020 and 5.5588 Å and the angles 90.00°, 96.76° and 90.00°. The distinct sites, in fractional coordinates, are Y at (0.0000, 0.0000, 0.0000), In at (0.5000, 0.0000, 0.5000) and Os at (0.2910, 0.5000, 0.7154).

As for the total magnetization: 0.00 μB per cell. Its crystal system is monoclinic. Its formation energy is 0.434 eV per atom.



[4]
Below is LiAl2TePd after structural relaxation, with properties calculated at the PBE level.

The structure belongs to space group P4/mmm (No. 123); the cell edges are 4.5328, 4.5328 and 4.9563 Å and the angles 90.00°, 90.00° and 90.00°. The distinct sites, in fractional coordinates, are Li at (0.0000, 0.0000, 0.0000), Al at (0.0000, 0.5000, 0.0000), Te at (0.0000, 0.0000, 0.5000) and Pd at (0.5000, 0.5000, 0.5000).

As for the total magnetization: 0.00 μB per cell. As for the formation energy without anion corrections: 41 kJ per mole of atoms. Its crystal system is tetragonal.